Compound: SrPIr
Source: Alexandria
Functional: GGA-PBEsol
Structure: optimized geometry

Lattice parameters (Å, degrees): 6.3053 6.3053 6.3053 90.00 90.00 90.00
With the nearest neighbours (Å) after each atom.
Sites, in units of the cell vectors:
Ir 0.4091 0.4091 0.4091  3 P 2.27
Ir 0.0909 0.5909 0.9091  3 P 2.27
Ir 0.5909 0.9091 0.0909  3 P 2.27
Ir 0.9091 0.0909 0.5909  3 P 2.27
P 0.8387 0.8387 0.8387  3 Ir 2.27
P 0.6613 0.1613 0.3387  3 Ir 2.27
P 0.1613 0.3387 0.6613  3 Ir 2.27
P 0.3387 0.6613 0.1613  3 Ir 2.27
Sr 0.1201 0.1201 0.1201  4 P 3.07-3.21, 4 Ir 3.16-3.26
Sr 0.3799 0.8799 0.6201  4 P 3.07-3.21, 4 Ir 3.16-3.26
Sr 0.8799 0.6201 0.3799  4 P 3.07-3.21, 4 Ir 3.16-3.26
Sr 0.6201 0.3799 0.8799  4 P 3.07-3.21, 4 Ir 3.16-3.26

Properties
- Uncorrected energy: -81.55 eV per cell
- SG: P2_13 (198)
- Energy of formation from the pure elements: -0.98 eV per atom

=====

Compound: CuP2Ir
Source: Alexandria
Functional: GGA-PBEsol
Structure: optimized geometry

Lattice parameters (Å, degrees): 3.4063 3.9484 4.8942 90.22 90.00 115.55
With the nearest neighbours (Å) after each atom.
Sites, in units of the cell vectors:
Cu 0.5556 0.1113 0.7220  5 P 2.26-2.49
Ir 0.6905 0.3810 0.2179  5 P 2.28-2.41
P 0.9850 0.9700 0.0383  3 Ir 2.28-2.41, 2 Cu 2.36
P 0.2689 0.5378 0.5218  3 Cu 2.26-2.49, 2 Ir 2.33

Properties
- Uncorrected energy: -26.43 eV per cell
- SG: Cm (8)
- Energy of formation from the pure elements: -0.17 eV per atom
- Excess energy over the best structure of this formula in the dataset: 0.0 meV/atom

=====

Compound: KSiAu3
Source: Alexandria
Functional: GGA-PBEsol
Structure: optimized geometry

Lattice parameters (Å, degrees): 4.8381 4.8381 4.8381 90.00 90.00 90.00
With the nearest neighbours (Å) after each atom.
Sites, in units of the cell vectors:
K 0.5000 0.5000 0.5000  12 Au 3.42
Au 0.0000 0.5000 0.0000  2 Si 2.42
Au 0.0000 0.0000 0.5000  2 Si 2.42
Au 0.5000 0.0000 0.0000  2 Si 2.42
Si 0.0000 0.0000 0.0000  6 Au 2.42

Properties
- Uncorrected energy: -19.35 eV per cell
- SG: Pm-3m (221)
- Uncorrected formation energy: -0.140 eV per atom

=====

Compound: HgMoOsSe2
Source: Alexandria
Functional: GGA-PBEsol
Structure: optimized geometry

Lattice parameters (Å, degrees): 4.7037 4.7037 5.3768 90.00 90.00 90.00
With the nearest neighbours (Å) after each atom.
Sites, in units of the cell vectors:
Mo 0.0000 0.0000 0.0000  4 Se 2.35
Os 0.5000 0.5000 0.5000  4 Hg 3.33, 8 Se 3.57
Hg 0.0000 0.0000 0.5000  2 Mo 2.69
Se 0.0000 0.5000 0.0000  2 Mo 2.35
Se 0.5000 0.0000 0.0000  2 Mo 2.35

Properties
- Uncorrected energy: -24.66 eV per cell
- SG: P4/mmm (123)
- Uncorrected formation energy: 1.518 eV per atom

=====

Values of D(E_F), in order: 0.227, 0.412, 0.137, 1.240, all in states/eV/atom.
Values of ρ, in order: 8.235, 8.884, 9.649, 8.999, all in Mg/m³.